PAu2: optimized geometry, PBE.

Geometry as CIF:
```
data_PAu2
_symmetry_space_group_name_H-M 'P 1'
_symmetry_Int_Tables_number 1
_cell_length_a 4.199
_cell_length_b 5.411
_cell_length_c 5.451
_cell_angle_alpha 90.00
_cell_angle_beta 90.00
_cell_angle_gamma 90.00
loop_
_symmetry_equiv_pos_as_xyz
'x,y,z'
loop_
_atom_site_label
_atom_site_type_symbol
_atom_site_fract_x
_atom_site_fract_y
_atom_site_fract_z
P1 P 0.500 0.500 0.500
Au1 Au 0.000 0.684 0.316
P2 P 0.000 0.000 0.000
Au2 Au 0.000 0.316 0.684
Au3 Au 0.500 0.816 0.816
Au4 Au 0.500 0.184 0.184
```

Summary:
**Space-group type**: Pnnm

=====

Rb2PSI6: optimized geometry, PBE.

Geometry as CIF:
```
data_Rb2PSI6
_symmetry_space_group_name_H-M 'P 1'
_symmetry_Int_Tables_number 1
_cell_length_a 8.138
_cell_length_b 8.138
_cell_length_c 8.087
_cell_angle_alpha 59.79
_cell_angle_beta 59.79
_cell_angle_gamma 90.00
loop_
_symmetry_equiv_pos_as_xyz
'x,y,z'
loop_
_atom_site_label
_atom_site_type_symbol
_atom_site_fract_x
_atom_site_fract_y
_atom_site_fract_z
I1 I 0.747 0.747 0.506
I2 I 0.253 0.253 0.494
I3 I 0.742 0.742 0.000
P1 P 0.500 0.500 0.000
Rb1 Rb 0.750 0.250 0.500
I4 I 0.258 0.742 0.000
Rb2 Rb 0.250 0.750 0.500
S1 S 0.000 0.000 0.000
I5 I 0.258 0.258 0.000
I6 I 0.742 0.258 0.000
```

Summary:
**Space-group type**: I4/mmm
**Formation energy without anion corrections**: -0.48 eV/atom

=====

DyTc2Mo: optimized geometry, PBE.

Geometry as CIF:
```
data_DyTc2Mo
_symmetry_space_group_name_H-M 'P 1'
_symmetry_Int_Tables_number 1
_cell_length_a 3.202
_cell_length_b 3.202
_cell_length_c 6.848
_cell_angle_alpha 90.00
_cell_angle_beta 90.00
_cell_angle_gamma 90.00
loop_
_symmetry_equiv_pos_as_xyz
'x,y,z'
loop_
_atom_site_label
_atom_site_type_symbol
_atom_site_fract_x
_atom_site_fract_y
_atom_site_fract_z
Tc1 Tc 0.000 0.000 0.784
Mo1 Mo 0.500 0.500 0.000
Tc2 Tc 0.000 0.000 0.216
Dy1 Dy 0.500 0.500 0.500
```

Summary:
**Space-group type**: P4/mmm

=====

E_tot (computed, eV per atom): -3.7550; -2.5570; -9.0037